Record 1
A relaxed structure of Mg2InCo5B2, computed with PBE-GGA.

Values from the calculation:
SG: P4/mbm (127)
Energy of formation from the pure elements, eV/atom: -0.19

Lattice parameters (Å, degrees): 2.855 9.057 9.057 90.00 90.00 90.00
Positions (direct):
B 0.000 0.120 0.620
B 0.000 0.380 0.120
B 0.000 0.620 0.880
B 0.000 0.880 0.380
Mg 0.000 0.678 0.178
Mg 0.000 0.322 0.822
Mg 0.000 0.178 0.322
Mg 0.000 0.822 0.678
Co 0.500 0.000 0.500
Co 0.500 0.932 0.233
Co 0.500 0.068 0.767
Co 0.500 0.500 0.000
Co 0.500 0.233 0.068
Co 0.500 0.267 0.568
Co 0.500 0.767 0.932
Co 0.500 0.733 0.432
Co 0.500 0.432 0.267
Co 0.500 0.568 0.733
In 0.000 0.500 0.500
In 0.000 0.000 0.000



Record 2
A relaxed structure of TbAgTe2, computed with PBE-GGA.

Values from the calculation:
E_form (uncorrected), eV/atom: -0.790
SG: R3m (160)

Lattice parameters (Å, degrees): 4.283 4.283 7.774 74.01 74.01 60.00
Positions (direct):
Te 0.080 0.080 0.760
Te 0.254 0.254 0.239
Ag 0.665 0.665 0.004
Tb 0.501 0.501 0.497



Record 3
A relaxed structure of TiTl, computed with PBE-GGA.

Values from the calculation:
SG: Fddd (70)
Energy of formation from the pure elements, eV/atom: 0.54

Lattice parameters (Å, degrees): 8.395 15.574 5.656 90.00 90.00 90.00
Positions (direct):
Tl 0.673 0.500 0.500
Tl 0.577 0.750 0.250
Tl 0.673 0.000 0.000
Tl 0.077 0.750 0.750
Tl 0.327 0.500 0.500
Tl 0.923 0.250 0.750
Tl 0.077 0.250 0.250
Tl 0.923 0.750 0.250
Tl 0.173 0.000 0.500
Tl 0.827 0.500 0.000
Tl 0.423 0.750 0.750
Tl 0.173 0.500 0.000
Tl 0.423 0.250 0.250
Tl 0.327 0.000 0.000
Tl 0.827 0.000 0.500
Tl 0.577 0.250 0.750
Ti 0.500 0.592 0.000
Ti 0.500 0.408 0.000
Ti 0.000 0.592 0.500
Ti 0.750 0.342 0.250
Ti 0.000 0.092 0.000
Ti 0.250 0.658 0.250
Ti 0.250 0.342 0.750
Ti 0.250 0.842 0.250
Ti 0.000 0.908 0.000
Ti 0.250 0.158 0.750
Ti 0.500 0.908 0.500
Ti 0.750 0.842 0.750
Ti 0.750 0.158 0.250
Ti 0.500 0.092 0.500
Ti 0.000 0.408 0.500
Ti 0.750 0.658 0.750



Record 4
A relaxed structure of MgTlCr3, computed with PBE-GGA.

Values from the calculation:
Distance to the lowest polymorph of the same formula, kJ/mol of atoms: 0.00
SG: Pm-3m (221)
Energy of formation from the pure elements, eV/atom: 1.44

Lattice parameters (Å, degrees): 5.191 5.191 5.191 90.00 90.00 90.00
Positions (direct):
Cr 0.000 0.500 0.000
Cr 0.000 0.000 0.500
Cr 0.500 0.000 0.000
Tl 0.000 0.000 0.000
Mg 0.500 0.500 0.500



Record 5
A relaxed structure of PPb2Cl, computed with PBE-GGA.

Values from the calculation:
Distance to the lowest polymorph of the same formula, kJ/mol of atoms: 17.76
E_form (uncorrected), eV/atom: -0.250
SG: P2/m (10)

Lattice parameters (Å, degrees): 3.618 3.653 8.569 64.77 90.00 90.00
Positions (direct):
P 0.500 0.750 0.750
Pb 0.000 0.032 0.972
Pb 0.000 0.468 0.528
Cl 0.500 0.250 0.250



Record 6
A relaxed structure of La6PmY4, computed with PBE-GGA.

Values from the calculation:
Distance to the lowest polymorph of the same formula, kJ/mol of atoms: 0.00
SG: Cmcm (63)
Energy of formation from the pure elements, eV/atom: 0.10

Lattice parameters (Å, degrees): 5.940 5.787 26.476 90.00 90.00 120.88
Positions (direct):
La 0.500 0.000 0.000
La 0.812 0.623 0.098
La 0.538 0.076 0.750
La 0.188 0.377 0.598
La 0.812 0.623 0.402
La 0.462 0.924 0.250
La 0.188 0.377 0.902
La 0.864 0.728 0.818
La 0.864 0.728 0.682
La 0.500 0.000 0.500
La 0.136 0.272 0.318
La 0.136 0.272 0.182
Y 0.528 0.056 0.875
Y 0.156 0.312 0.046
Y 0.844 0.688 0.546
Y 0.472 0.944 0.125
Y 0.528 0.056 0.625
Y 0.156 0.312 0.454
Y 0.472 0.944 0.375
Y 0.844 0.688 0.954
Pm 0.199 0.397 0.750
Pm 0.801 0.603 0.250



Record 7
A relaxed structure of CeCdCu2Ge2, computed with PBE-GGA.

Values from the calculation:
SG: P-3m1 (164)
Energy of formation from the pure elements, eV/atom: -0.34

Lattice parameters (Å, degrees): 4.257 4.257 7.059 90.00 90.00 120.00
Positions (direct):
Ge 0.333 0.667 0.243
Ge 0.667 0.333 0.757
Cd 0.000 0.000 0.500
Cu 0.667 0.333 0.302
Cu 0.333 0.667 0.698
Ce 0.000 0.000 0.000



Record 8
A relaxed structure of YRuCl6, computed with PBE-GGA.

Values from the calculation:
E_form (uncorrected), eV/atom: -1.279
SG: R-3 (148)

Lattice parameters (Å, degrees): 6.353 6.354 6.799 62.13 62.14 60.00
Positions (direct):
Cl 0.772 0.077 0.763
Cl 0.077 0.388 0.763
Cl 0.388 0.772 0.763
Cl 0.923 0.612 0.237
Cl 0.228 0.923 0.237
Cl 0.612 0.228 0.237
Y 0.500 0.500 0.500
Ru 0.000 0.000 0.000



Record 9
A relaxed structure of SrYTl2, computed with PBE-GGA.

Values from the calculation:
SG: I-42d (122)
Energy of formation from the pure elements, eV/atom: -0.06

Lattice parameters (Å, degrees): 8.630 8.630 7.150 52.88 52.88 90.00
Positions (direct):
Tl 0.875 0.896 0.750
Tl 0.375 0.354 0.750
Tl 0.104 0.625 0.250
Tl 0.646 0.125 0.250
Y 0.750 0.250 0.500
Y 0.000 0.000 0.000
Sr 0.250 0.750 0.500
Sr 0.500 0.500 0.000



Record 10
A relaxed structure of PmErCuAu, computed with PBE-GGA.

Values from the calculation:
Distance to the lowest polymorph of the same formula, kJ/mol of atoms: 0.00
SG: Amm2 (38)
Energy of formation from the pure elements, eV/atom: -0.53

Lattice parameters (Å, degrees): 3.790 4.557 5.785 90.00 109.12 90.00
Positions (direct):
Er 0.138 0.000 0.277
Au 0.580 0.500 0.160
Cu 0.422 0.000 0.844
Pm 0.860 0.500 0.719